Entry 1:
Here is TlHg2Pb7 after structural relaxation from the Alexandria database. Energies are from GGA-PBE.

V ... 32.1 Å³ per atom
Raw total energy ... -2.815 eV/atom
Formation enthalpy at 0 K ... 0.8 eV/f.u.

abc: 13.479 13.479 13.479
angles: 158.77 158.77 30.20
Fractional positions:
Tl 0.000 0.000 0.000
Hg 0.323 0.323 0.000
Hg 0.677 0.677 0.000
Pb 0.098 0.598 0.500
Pb 0.250 0.750 0.500
Pb 0.402 0.902 0.500
Pb 0.500 0.500 0.000
Pb 0.598 0.098 0.500
Pb 0.750 0.250 0.500
Pb 0.902 0.402 0.500



Entry 2:
Here is CaZn2Hg after structural relaxation from the Alexandria database. Energies are from GGA-PBE.

V ... 21.7 Å³ per atom
Raw total energy ... -1.412 eV/atom
Formation enthalpy at 0 K ... -0.8 eV/f.u.

abc: 5.178 5.178 5.178
angles: 130.30 122.14 79.70
Fractional positions:
Ca 0.000 0.000 0.000
Zn 0.528 0.528 0.000
Zn 0.726 0.226 0.500
Hg 0.275 0.775 0.500



Entry 3:
Here is NaCr2Se2 after structural relaxation from the Alexandria database. Energies are from GGA-PBE.

Polymorph energy (0 for the lowest one) ... 0.000 eV per atom
V ... 18.7 Å³ per atom
Raw total energy ... -5.876 eV/atom

abc: 7.394 7.394 7.394
angles: 151.23 151.23 41.13
Fractional positions:
Na 0.000 0.000 0.000
Cr 0.250 0.750 0.500
Cr 0.750 0.250 0.500
Se 0.366 0.366 0.000
Se 0.634 0.634 0.000



Among the records above, which one has the lowest V? NaCr2Se2